(1)
## ZnH8C2N4Cl2O2 (GGA-PBEsol)

Data for crystalline ZnH8C2N4Cl2O2 at its relaxed geometry.

Lattice parameters (Å, degrees): 6.159 6.693 11.640 88.37 76.98 66.92
Space group P-1 (No. 2)
Symmetry-distinct sites (fractional):
Zn 0.021 0.163 0.251
H 0.173 0.375 0.726
H 0.174 0.456 0.924
H 0.217 0.743 0.431
H 0.251 0.469 0.415
H 0.327 0.845 0.953
H 0.446 0.174 0.646
H 0.497 0.327 0.901
H 0.499 0.191 0.192
C 0.305 0.313 0.066
C 0.445 0.480 0.656
N 0.322 0.585 0.401
N 0.327 0.373 0.955
N 0.341 0.335 0.671
N 0.494 0.806 0.897
Cl 0.085 0.860 0.153
Cl 0.201 0.137 0.401
O 0.092 0.368 0.135
O 0.329 0.680 0.696

Values from the calculation:
The uncorrected energy comes out at -5.7382 eV/atom. The value obtained for the density of states at the Fermi level is 0.00 states/eV/f.u. Its crystal system is triclinic.

(2)
## H6PbCNCl3 (GGA-PBEsol)

Data for crystalline H6PbCNCl3 at its relaxed geometry.

Lattice parameters (Å, degrees): 5.627 5.598 5.770 90.00 91.00 90.00
Space group Pm (No. 6)
Symmetry-distinct sites (fractional):
H 0.000 0.000 0.000
H 0.094 0.151 0.233
H 0.662 0.161 0.215
H 0.769 0.000 0.465
Pb 0.327 0.500 0.745
C 0.756 0.000 0.275
N 0.998 0.000 0.180
Cl 0.274 0.000 0.702
Cl 0.289 0.500 0.253
Cl 0.825 0.500 0.805

Values from the calculation:
The uncorrected energy comes out at -4.6163 eV/atom. The value obtained for the density of states at the Fermi level is 0.00 states/eV/f.u. Its crystal system is monoclinic.